[1]
The following is a GGA-PBEsol calculation of a relaxed ScAlF2 crystal, from Alexandria via LeMat-Bulk. Values from VASP.

Summary:
**Crystal system**: tetragonal

Cell and atoms, written as Quantum ESPRESSO input:
```
&SYSTEM
  ibrav = 0, nat = 8, ntyp = 3
/
ATOMIC_SPECIES
Sc 44.96 Sc.upf
Al 26.98 Al.upf
F 19.00 F.upf
ATOMIC_POSITIONS angstrom
Sc 0.000 0.000 0.000
Sc 0.000 2.483 3.042
Al 2.483 0.000 3.042
Al 0.000 0.000 6.083
F 0.349 1.242 1.521
F -1.242 2.135 4.563
F -0.349 3.725 1.521
F 1.242 2.832 4.563
CELL_PARAMETERS angstrom
-2.483 2.483 6.083
2.483 -2.483 6.083
2.483 2.483 -6.083
```



[2]
The following is a GGA-PBEsol calculation of a relaxed AlSnSeF2 crystal, from Alexandria via LeMat-Bulk. Values from VASP.

Summary:
**Crystal system**: tetragonal

Cell and atoms, written as Quantum ESPRESSO input:
```
&SYSTEM
  ibrav = 0, nat = 5, ntyp = 4
/
ATOMIC_SPECIES
Al 26.98 Al.upf
Sn 118.71 Sn.upf
Se 78.96 Se.upf
F 19.00 F.upf
ATOMIC_POSITIONS angstrom
Al 0.000 0.000 0.000
Sn 1.997 1.997 2.651
Se 0.000 0.000 2.651
F 0.000 1.997 0.000
F 1.997 0.000 0.000
CELL_PARAMETERS angstrom
3.993 0.000 0.000
0.000 3.993 0.000
0.000 0.000 5.302
```



[3]
The following is a GGA-PBEsol calculation of a relaxed AlSnF2 crystal, from Alexandria via LeMat-Bulk. Values from VASP.

Summary:
**Crystal system**: trigonal
**Energy relative to the lowest polymorph listed for this composition**: 0 meV per atom

Cell and atoms, written as Quantum ESPRESSO input:
```
&SYSTEM
  ibrav = 0, nat = 4, ntyp = 3
/
ATOMIC_SPECIES
Al 26.98 Al.upf
Sn 118.71 Sn.upf
F 19.00 F.upf
ATOMIC_POSITIONS angstrom
Al 0.000 0.000 0.000
Sn 0.000 0.000 11.696
F 0.000 0.000 1.818
F 0.000 0.000 21.574
CELL_PARAMETERS angstrom
1.526 0.881 7.798
-1.526 0.881 7.798
0.000 -1.762 7.798
```



[4]
The following is a GGA-PBEsol calculation of a relaxed SrAlF2 crystal, from Alexandria via LeMat-Bulk. Values from VASP.

Summary:
**Crystal system**: tetragonal
**Energy relative to the lowest polymorph listed for this composition**: 0 meV per atom

Cell and atoms, written as Quantum ESPRESSO input:
```
&SYSTEM
  ibrav = 0, nat = 8, ntyp = 3
/
ATOMIC_SPECIES
Sr 87.62 Sr.upf
Al 26.98 Al.upf
F 19.00 F.upf
ATOMIC_POSITIONS angstrom
Sr 0.000 0.000 0.000
Sr 0.000 2.918 2.907
Al 2.918 0.000 2.907
Al 0.000 0.000 5.814
F 4.378 1.034 -1.453
F 1.034 1.459 1.453
F -1.459 1.884 4.360
F 1.884 1.459 7.267
CELL_PARAMETERS angstrom
-2.918 2.918 5.814
2.918 -2.918 5.814
2.918 2.918 -5.814
```



[5]
The following is a GGA-PBEsol calculation of a relaxed SrAlF5 crystal, from Alexandria via LeMat-Bulk. Values from VASP.

Summary:
**Crystal system**: monoclinic
**Energy relative to the lowest polymorph listed for this composition**: 74 meV per atom

Cell and atoms, written as Quantum ESPRESSO input:
```
&SYSTEM
  ibrav = 0, nat = 56, ntyp = 3
/
ATOMIC_SPECIES
Sr 87.62 Sr.upf
Al 26.98 Al.upf
F 19.00 F.upf
ATOMIC_POSITIONS angstrom
Sr 0.724 1.584 4.929
Sr -0.782 2.047 11.035
Sr 0.419 5.416 7.710
Sr 1.925 5.475 1.604
Sr 3.798 1.785 10.609
Sr 5.304 1.845 4.502
Sr 6.505 5.214 1.178
Sr 4.999 5.677 7.284
Al -0.841 5.372 4.484
Al -2.347 5.519 10.590
Al 2.779 1.598 2.246
Al 1.273 2.033 8.353
Al 4.450 5.228 3.860
Al 2.944 5.663 9.967
Al 8.070 1.742 1.622
Al 6.564 1.888 7.729
F -1.453 1.520 6.111
F 0.053 2.110 0.005
F -0.231 5.158 2.808
F -1.737 5.734 8.914
F -0.626 3.713 4.826
F -2.131 7.178 10.932
F -0.663 1.313 8.466
F 0.843 2.318 2.359
F -1.025 4.524 11.123
F 0.481 6.367 5.017
F 1.926 0.216 3.045
F 0.421 3.414 9.152
F 2.525 0.614 0.745
F 1.019 3.016 6.852
F 1.384 0.556 7.329
F 2.889 3.075 1.223
F 2.743 4.865 3.763
F 1.238 6.026 9.869
F 1.383 1.364 10.043
F 2.889 2.267 3.937
F 2.834 4.994 8.276
F 4.340 5.897 2.169
F 4.486 1.235 2.343
F 2.980 2.396 8.450
F 2.834 4.186 10.990
F 4.340 6.705 4.883
F 4.704 4.245 5.361
F 3.198 6.647 11.468
F 5.302 3.847 3.061
F 3.797 7.044 9.167
F 5.243 0.894 7.196
F 6.748 2.736 1.090
F 4.880 4.943 9.853
F 6.386 5.948 3.747
F 7.854 0.083 1.281
F 6.349 3.548 7.387
F 7.460 1.527 3.298
F 5.954 2.103 9.405
F 5.671 5.151 12.208
F 7.176 5.740 6.102
CELL_PARAMETERS angstrom
8.734 0.000 0.000
0.000 7.261 0.000
-3.011 0.000 12.213
```



[6]
The following is a GGA-PBEsol calculation of a relaxed Sr5Al2F16 crystal, from Alexandria via LeMat-Bulk. Values from VASP.

Summary:
**Crystal system**: orthorhombic

Cell and atoms, written as Quantum ESPRESSO input:
```
&SYSTEM
  ibrav = 0, nat = 46, ntyp = 3
/
ATOMIC_SPECIES
Sr 87.62 Sr.upf
Al 26.98 Al.upf
F 19.00 F.upf
ATOMIC_POSITIONS angstrom
Sr 1.861 0.000 1.712
Sr 1.861 0.000 8.733
Sr 3.722 3.112 3.511
Sr 3.722 3.112 7.478
Sr 3.722 3.112 13.585
Sr 3.722 -3.112 0.457
Sr 3.722 -3.112 6.564
Sr 3.722 -3.112 10.532
Sr 5.583 0.000 5.309
Sr 5.583 0.000 12.331
Al 1.861 0.000 5.210
Al 1.861 0.000 12.231
Al 5.583 0.000 1.811
Al 5.583 0.000 8.832
F 2.304 3.764 5.567
F 3.361 5.175 8.828
F 1.096 1.011 13.520
F 1.224 1.054 10.928
F 2.304 2.459 1.454
F 4.083 5.175 12.235
F 1.096 -1.011 6.499
F 1.224 -1.054 3.907
F 2.498 1.054 3.907
F 2.626 1.011 6.499
F 3.361 1.049 12.235
F 5.140 3.764 1.454
F 2.498 -1.054 10.928
F 2.626 -1.011 13.520
F 4.083 1.049 8.828
F 5.140 2.459 5.567
F 2.304 -2.459 8.475
F 3.361 -1.049 5.214
F 4.818 1.011 0.522
F 4.946 1.054 3.114
F 2.304 -3.764 12.588
F 4.083 -1.049 1.807
F 4.818 -1.011 7.543
F 4.946 -1.054 10.135
F 6.220 1.054 10.135
F 6.348 1.011 7.543
F 3.361 -5.175 1.807
F 5.140 -2.459 12.588
F 6.220 -1.054 3.114
F 6.348 -1.011 0.522
F 4.083 -5.175 5.214
F 5.140 -3.764 8.475
CELL_PARAMETERS angstrom
3.722 -6.224 0.000
3.722 6.224 0.000
0.000 0.000 14.042
```



[7]
The following is a GGA-PBEsol calculation of a relaxed SrAlF5 crystal, from Alexandria via LeMat-Bulk. Values from VASP.

Summary:
**Crystal system**: tetragonal
**Energy relative to the lowest polymorph listed for this composition**: 0 meV per atom

Cell and atoms, written as Quantum ESPRESSO input:
```
&SYSTEM
  ibrav = 0, nat = 56, ntyp = 3
/
ATOMIC_SPECIES
Sr 87.62 Sr.upf
Al 26.98 Al.upf
F 19.00 F.upf
ATOMIC_POSITIONS angstrom
Sr 10.976 0.718 0.000
Sr 0.718 3.155 0.000
Sr 8.038 3.578 -0.001
Sr 3.578 6.092 -0.001
Sr 3.487 0.973 3.570
Sr -0.973 3.487 3.570
Sr 6.347 3.911 3.571
Sr -3.911 6.347 3.571
Al 7.065 0.000 0.001
Al 4.716 2.579 0.000
Al 0.000 0.000 1.797
Al 4.487 -2.350 3.571
Al 0.000 7.065 0.001
Al 2.579 9.415 0.000
Al 0.000 0.000 5.333
Al 2.350 4.487 3.571
F 8.613 0.930 0.000
F 10.036 -1.422 1.238
F 5.563 3.616 -1.232
F 6.310 1.630 0.000
F 5.642 -2.971 2.331
F 7.628 5.362 -1.838
F 5.362 6.502 -1.838
F 3.449 -1.502 2.338
F 10.523 3.243 0.000
F 7.065 0.000 1.786
F 3.243 3.608 0.000
F 4.094 1.422 1.238
F 1.703 0.563 1.733
F -0.563 1.703 1.733
F 0.930 5.517 0.000
F 5.560 3.613 1.236
F 3.616 8.567 -1.232
F 5.435 -0.756 3.571
F -1.422 4.094 1.238
F 0.000 0.000 3.565
F 8.489 2.971 2.331
F 1.630 7.821 0.000
F 3.452 -1.505 4.806
F 1.502 3.449 2.338
F 6.135 1.548 3.571
F 7.621 5.360 1.827
F 5.360 6.510 1.827
F 2.971 5.642 2.331
F 3.822 3.458 3.571
F 0.000 7.065 1.786
F -3.458 3.822 3.571
F 3.613 8.570 1.236
F 1.706 0.555 5.397
F -0.555 1.706 5.397
F 1.422 10.036 1.238
F 0.756 5.435 3.571
F 1.505 3.452 4.806
F -2.971 8.489 2.331
F -1.548 6.135 3.571
F 0.000 0.000 7.136
CELL_PARAMETERS angstrom
-7.065 7.065 3.571
7.065 -7.065 3.571
7.065 7.065 -3.571
```



[8]
The following is a GGA-PBEsol calculation of a relaxed SrAlF2 crystal, from Alexandria via LeMat-Bulk. Values from VASP.

Summary:
**Crystal system**: trigonal
**Energy relative to the lowest polymorph listed for this composition**: 105 meV per atom

Cell and atoms, written as Quantum ESPRESSO input:
```
&SYSTEM
  ibrav = 0, nat = 4, ntyp = 3
/
ATOMIC_SPECIES
Sr 87.62 Sr.upf
Al 26.98 Al.upf
F 19.00 F.upf
ATOMIC_POSITIONS angstrom
Sr 0.000 0.000 0.000
Al 0.000 0.000 6.409
F 0.000 0.000 2.546
F 0.000 0.000 10.271
CELL_PARAMETERS angstrom
2.156 1.245 4.272
-2.156 1.245 4.272
0.000 -2.490 4.272
```



[9]
The following is a GGA-PBEsol calculation of a relaxed TaAlF3 crystal, from Alexandria via LeMat-Bulk. Values from VASP.

Summary:
**Crystal system**: cubic

Cell and atoms, written as Quantum ESPRESSO input:
```
&SYSTEM
  ibrav = 0, nat = 5, ntyp = 3
/
ATOMIC_SPECIES
Ta 180.95 Ta.upf
Al 26.98 Al.upf
F 19.00 F.upf
ATOMIC_POSITIONS angstrom
Ta 0.000 0.000 0.000
Al 2.020 2.020 2.020
F 0.000 2.020 2.020
F 2.020 0.000 2.020
F 2.020 2.020 0.000
CELL_PARAMETERS angstrom
4.040 0.000 0.000
0.000 4.040 0.000
0.000 0.000 4.040
```



[10]
The following is a GGA-PBEsol calculation of a relaxed AlTcF3 crystal, from Alexandria via LeMat-Bulk. Values from VASP.

Summary:
**Crystal system**: cubic

Cell and atoms, written as Quantum ESPRESSO input:
```
&SYSTEM
  ibrav = 0, nat = 5, ntyp = 3
/
ATOMIC_SPECIES
Al 26.98 Al.upf
Tc 98.00 Tc.upf
F 19.00 F.upf
ATOMIC_POSITIONS angstrom
Al 0.000 0.000 0.000
Tc 1.971 1.971 1.971
F 0.000 0.000 1.971
F 0.000 1.971 0.000
F 1.971 0.000 0.000
CELL_PARAMETERS angstrom
3.941 0.000 0.000
0.000 3.941 0.000
0.000 0.000 3.941
```



[11]
The following is a GGA-PBEsol calculation of a relaxed Al3TcF crystal, from Alexandria via LeMat-Bulk. Values from VASP.

Summary:
**Crystal system**: cubic

Cell and atoms, written as Quantum ESPRESSO input:
```
&SYSTEM
  ibrav = 0, nat = 5, ntyp = 3
/
ATOMIC_SPECIES
Al 26.98 Al.upf
Tc 98.00 Tc.upf
F 19.00 F.upf
ATOMIC_POSITIONS angstrom
Al 0.000 0.000 2.338
Al 0.000 2.338 0.000
Al 2.338 0.000 0.000
Tc 0.000 0.000 0.000
F 2.338 2.338 2.338
CELL_PARAMETERS angstrom
4.676 0.000 0.000
0.000 4.676 0.000
0.000 0.000 4.676
```



[12]
The following is a GGA-PBEsol calculation of a relaxed TiAl3F crystal, from Alexandria via LeMat-Bulk. Values from VASP.

Summary:
**Crystal system**: cubic

Cell and atoms, written as Quantum ESPRESSO input:
```
&SYSTEM
  ibrav = 0, nat = 5, ntyp = 3
/
ATOMIC_SPECIES
Ti 47.87 Ti.upf
Al 26.98 Al.upf
F 19.00 F.upf
ATOMIC_POSITIONS angstrom
Ti 0.000 0.000 0.000
Al 0.000 2.102 2.102
Al 2.102 0.000 2.102
Al 2.102 2.102 0.000
F 2.102 2.102 2.102
CELL_PARAMETERS angstrom
4.204 0.000 0.000
0.000 4.204 0.000
0.000 0.000 4.204
```



Calculated total energy list, top to bottom, in eV per atom: -5.571; -4.786; -4.722; -4.492; -5.908; -5.943; -5.982; -4.387; -5.312; -5.326; -5.055; -4.980